Entry 1:
TbNdTeS | GGA-PBE | relaxed

a b c (Å): 4.0314 4.0347 7.9974
angles (deg): 90.00 104.58 120.02
Element x y z (fractional)
Te 0.1284 0.9622 0.1058
Tb 0.2901 0.5429 0.8487
S 0.4785 0.1372 0.6312
Nd 0.9809 0.3885 0.3840

Calculated values
Magnetization (μB per cell): 0.00
VASP energy (eV per atom): -5.735


Entry 2:
Be2TeIr | GGA-PBE | relaxed

a b c (Å): 7.9499 7.9499 7.9499
angles (deg): 21.75 21.75 21.75
Element x y z (fractional)
Be 0.9841 0.9841 0.9841
Be 0.5159 0.5159 0.5159
Te 0.7500 0.7500 0.7500
Ir 0.2500 0.2500 0.2500

Calculated values
Magnetization (μB per cell): 0.00
VASP energy (eV per atom): -4.573


Entry 3:
Eu2AgBr | GGA-PBE | relaxed

a b c (Å): 3.7684 3.7684 8.3288
angles (deg): 90.00 90.00 90.00
Element x y z (fractional)
Eu 0.0000 0.0000 0.7709
Eu 0.0000 0.0000 0.2291
Ag 0.5000 0.5000 0.0000
Br 0.5000 0.5000 0.5000

Calculated values
Magnetization (μB per cell): 14.67
Distance to the lowest polymorph of the same formula (eV per atom): 0.040


Entry 4:
KLi2TeS4 | GGA-PBE | relaxed

a b c (Å): 8.6743 8.3372 8.3385
angles (deg): 112.70 119.39 102.25
Element x y z (fractional)
Te 0.0601 0.0267 0.9611
Te 0.4782 0.5304 0.5913
S 0.2824 0.8848 0.0467
S 0.6665 0.1620 0.9127
S 0.6857 0.6926 0.9882
S 0.2463 0.3058 0.9885
S 0.3591 0.7674 0.5707
S 0.8072 0.8053 0.5589
S 0.6780 0.1712 0.4280
S 0.2007 0.2559 0.4788
K 0.9518 0.4981 0.4553
K 0.9929 0.5275 0.0024
Li 0.5971 0.9802 0.5555
Li 0.5801 0.9724 0.0437
Li 0.9555 0.0979 0.5631
Li 0.4585 0.3218 0.8551

Calculated values
Magnetization (μB per cell): 2.01
VASP energy (eV per atom): -3.675


Entry 5:
Na5Tl2Pb12 | GGA-PBE | relaxed

a b c (Å): 6.0007 9.8931 11.4810
angles (deg): 115.52 88.77 90.00
Element x y z (fractional)
Pb 0.4453 0.5735 0.1470
Pb 0.9862 0.0787 0.1573
Pb 0.8245 0.9627 0.5902
Pb 0.3518 0.6369 0.7303
Pb 0.5547 0.4265 0.8530
Pb 0.3518 0.0933 0.7303
Pb 0.8245 0.6274 0.5902
Pb 0.6482 0.9067 0.2697
Pb 0.1755 0.3726 0.4098
Pb 0.1755 0.0373 0.4098
Pb 0.6482 0.3631 0.2697
Pb 0.0138 0.9213 0.8427
Na 0.9509 0.6469 0.2938
Na 0.0491 0.3531 0.7062
Na 0.6205 0.2591 0.5182
Na 0.3795 0.7409 0.4818
Na 0.5000 0.0000 0.0000
Tl 0.0000 0.6778 0.0000
Tl 0.0000 0.3222 0.0000

Calculated values
Magnetization (μB per cell): 0.00
Calculated formation energy (eV/atom): -0.03


Entry 6:
Ca2Tl | GGA-PBE | relaxed

a b c (Å): 10.4432 10.4432 10.4432
angles (deg): 60.00 60.00 60.00
Element x y z (fractional)
Ca 0.0000 0.5000 0.0000
Ca 0.6791 0.0709 0.1791
Ca 0.6791 0.6791 0.5709
Ca 0.5000 0.5000 0.5000
Ca 0.6791 0.0709 0.5709
Ca 0.0709 0.6791 0.5709
Ca 0.3209 0.9291 0.8209
Ca 0.9291 0.3209 0.8209
Ca 0.9291 0.9291 0.8209
Ca 0.5000 0.0000 0.0000
Ca 0.0709 0.0709 0.1791
Ca 0.5000 0.5000 0.0000
Ca 0.0709 0.6791 0.1791
Ca 0.3209 0.3209 0.4291
Ca 0.3209 0.9291 0.4291
Ca 0.9291 0.3209 0.4291
Tl 0.6580 0.2807 0.7807
Tl 0.7193 0.7193 0.2193
Tl 0.2807 0.2807 0.1580
Tl 0.7193 0.3420 0.2193
Tl 0.2807 0.6580 0.7807
Tl 0.2807 0.2807 0.7807
Tl 0.3420 0.7193 0.2193
Tl 0.7193 0.7193 0.8420

Calculated values
Magnetization (μB per cell): 0.00
Calculated formation energy (eV/atom): -0.29


Entry 7:
K2LaMn | GGA-PBE | relaxed

a b c (Å): 3.6295 3.6295 13.4344
angles (deg): 90.00 90.00 115.03
Element x y z (fractional)
La 0.5000 0.5000 0.2500
K 0.0000 0.0000 0.9747
K 0.0000 0.0000 0.5253
Mn 0.5000 0.5000 0.7500

Calculated values
Magnetization (μB per cell): 4.72
Calculated formation energy (eV/atom): 0.79
Distance to the lowest polymorph of the same formula (eV per atom): 0.351


Entry 8:
TiBP2Cl | GGA-PBE | relaxed

a b c (Å): 4.7238 4.4395 4.7238
angles (deg): 90.00 90.00 90.00
Element x y z (fractional)
P 0.0000 0.0000 0.5000
P 0.5000 0.0000 0.0000
B 0.0000 0.5000 0.0000
Ti 0.0000 0.0000 0.0000
Cl 0.5000 0.5000 0.5000

Calculated values
Magnetization (μB per cell): 0.00
Distance to the lowest polymorph of the same formula (eV per atom): 0.259